1.
# AcMg2Ga2Ag, optimized geometry, DFT GGA-PBE
# DFT formation energy: -0.0338 eV/atom
data_AcMg2Ga2Ag
_space_group_name_H-M_alt 'I 4/m m m'
_space_group_IT_number 139
_space_group_name_Hall '-I 4 2'
_cell_length_a 5.218
_cell_length_b 5.218
_cell_length_c 11.695
_cell_angle_alpha 90.00
_cell_angle_beta 90.00
_cell_angle_gamma 90.00
loop_
_atom_site_label
_atom_site_fract_x
_atom_site_fract_y
_atom_site_fract_z
Ac1 0.000 0.000 0.000
Mg1 0.000 0.500 0.250
Ga1 0.000 0.000 0.288
Ag1 0.000 0.000 0.500



2.
# Ac2MgGaAg6, optimized geometry, DFT GGA-PBE
# DFT formation energy: -0.1656 eV/atom
data_Ac2MgGaAg6
_space_group_name_H-M_alt 'C 1 2/m 1'
_space_group_IT_number 12
_cell_length_a 13.072
_cell_length_b 5.752
_cell_length_c 9.190
_cell_angle_alpha 90.00
_cell_angle_beta 133.57
_cell_angle_gamma 90.00
loop_
_space_group_symop_operation_xyz
'x,y,z'
'-x,-y,-z'
'-x,y,-z'
'x,-y,z'
'x+1/2,y+1/2,z'
'-x+1/2,-y+1/2,-z'
'-x+1/2,y+1/2,-z'
'x+1/2,-y+1/2,z'
loop_
_atom_site_label
_atom_site_fract_x
_atom_site_fract_y
_atom_site_fract_z
Ac1 0.242 0.000 0.278
Mg1 0.000 0.000 0.500
Ga1 0.000 0.500 0.000
Ag1 0.003 0.253 0.755
Ag2 0.249 0.000 0.908



3.
# Ac2Mg4Ga3Ag, optimized geometry, DFT GGA-PBE
# DFT formation energy: -0.3317 eV/atom
data_Ac2Mg4Ga3Ag
_space_group_name_H-M_alt 'P -4 m 2'
_space_group_IT_number 115
_cell_length_a 4.682
_cell_length_b 4.682
_cell_length_c 11.267
_cell_angle_alpha 90.00
_cell_angle_beta 90.00
_cell_angle_gamma 90.00
loop_
_space_group_symop_operation_xyz
'x,y,z'
'y,-x,-z'
'-x,-y,z'
'-y,x,-z'
'-x,y,z'
'-y,-x,-z'
'x,-y,z'
'y,x,-z'
loop_
_atom_site_label
_atom_site_fract_x
_atom_site_fract_y
_atom_site_fract_z
Ac1 0.000 0.500 0.248
Mg1 0.000 0.000 0.500
Mg2 0.000 0.500 0.877
Mg3 0.500 0.500 0.500
Ga1 0.000 0.000 0.000
Ga2 0.000 0.500 0.640
Ag1 0.500 0.500 0.000



4.
# Ac3MgGa2Ag6, optimized geometry, DFT GGA-PBE
# DFT formation energy: -0.1560 eV/atom
data_Ac3MgGa2Ag6
_space_group_name_H-M_alt 'P -3 m 1'
_space_group_IT_number 164
_space_group_name_Hall '-P 3 2"'
_cell_length_a 6.4072
_cell_length_b 6.4072
_cell_length_c 8.8657
_cell_angle_alpha 90.00
_cell_angle_beta 90.00
_cell_angle_gamma 120.00
loop_
_atom_site_label
_atom_site_fract_x
_atom_site_fract_y
_atom_site_fract_z
Ac1 0.0000 0.0000 0.0000
Ac2 0.3333 0.6667 0.6307
Mg1 0.0000 0.0000 0.5000
Ga1 0.3333 0.6667 0.0143
Ag1 0.1845 0.3690 0.2782



5.
# AcMgGa2Ag4, optimized geometry, DFT GGA-PBE
# DFT formation energy: -0.2133 eV/atom
data_AcMgGa2Ag4
_space_group_name_H-M_alt 'R -3 m'
_space_group_IT_number 166
_space_group_name_Hall '-R 3 2"'
_cell_length_a 4.5900
_cell_length_b 4.5900
_cell_length_c 27.9700
_cell_angle_alpha 90.00
_cell_angle_beta 90.00
_cell_angle_gamma 120.00
loop_
_atom_site_label
_atom_site_fract_x
_atom_site_fract_y
_atom_site_fract_z
Ac1 0.0000 0.0000 0.0000
Mg1 0.0000 0.0000 0.5000
Ga1 0.0000 0.0000 0.2451
Ag1 0.0000 0.0000 0.1342
Ag2 0.0000 0.0000 0.4040



6.
# Ac2MgGa3Ag4, optimized geometry, DFT GGA-PBE
# DFT formation energy: -0.3504 eV/atom
data_Ac2MgGa3Ag4
_space_group_name_H-M_alt 'P -4 m 2'
_space_group_IT_number 115
_cell_length_a 4.602
_cell_length_b 4.602
_cell_length_c 10.942
_cell_angle_alpha 90.00
_cell_angle_beta 90.00
_cell_angle_gamma 90.00
loop_
_space_group_symop_operation_xyz
'x,y,z'
'y,-x,-z'
'-x,-y,z'
'-y,x,-z'
'-x,y,z'
'-y,-x,-z'
'x,-y,z'
'y,x,-z'
loop_
_atom_site_label
_atom_site_fract_x
_atom_site_fract_y
_atom_site_fract_z
Ac1 0.000 0.500 0.240
Mg1 0.000 0.000 0.500
Ga1 0.000 0.500 0.871
Ga2 0.500 0.500 0.500
Ag1 0.000 0.000 0.000
Ag2 0.000 0.500 0.634
Ag3 0.500 0.500 0.000



7.
# AcMg2Ga2Ag2, optimized geometry, DFT GGA-PBE
# DFT formation energy: -0.3289 eV/atom
data_AcMg2Ga2Ag2
_space_group_name_H-M_alt 'R -3 m'
_space_group_IT_number 166
_space_group_name_Hall '-R 3 2"'
_cell_length_a 4.5836
_cell_length_b 4.5836
_cell_length_c 25.8416
_cell_angle_alpha 90.00
_cell_angle_beta 90.00
_cell_angle_gamma 120.00
loop_
_atom_site_label
_atom_site_fract_x
_atom_site_fract_y
_atom_site_fract_z
Ac1 0.0000 0.0000 0.0000
Mg1 0.0000 0.0000 0.1388
Ga1 0.0000 0.0000 0.2535
Ag1 0.0000 0.0000 0.4344



8.
# AcMgGa4Ag2, optimized geometry, DFT GGA-PBE
# DFT formation energy: -0.2431 eV/atom
data_AcMgGa4Ag2
_space_group_name_H-M_alt 'R -3 m'
_space_group_IT_number 166
_space_group_name_Hall '-R 3 2"'
_cell_length_a 4.5817
_cell_length_b 4.5817
_cell_length_c 28.1903
_cell_angle_alpha 90.00
_cell_angle_beta 90.00
_cell_angle_gamma 120.00
loop_
_atom_site_label
_atom_site_fract_x
_atom_site_fract_y
_atom_site_fract_z
Ac1 0.0000 0.0000 0.0000
Mg1 0.0000 0.0000 0.5000
Ga1 0.0000 0.0000 0.1245
Ga2 0.0000 0.0000 0.4002
Ag1 0.0000 0.0000 0.2349



9.
# AcMg2GaAg2, optimized geometry, DFT GGA-PBE
# DFT formation energy: -0.0662 eV/atom
data_AcMg2GaAg2
_space_group_name_H-M_alt 'I 4/m m m'
_space_group_IT_number 139
_space_group_name_Hall '-I 4 2'
_cell_length_a 5.173
_cell_length_b 5.173
_cell_length_c 11.826
_cell_angle_alpha 90.00
_cell_angle_beta 90.00
_cell_angle_gamma 90.00
loop_
_atom_site_label
_atom_site_fract_x
_atom_site_fract_y
_atom_site_fract_z
Ac1 0.000 0.000 0.000
Mg1 0.000 0.500 0.250
Ga1 0.000 0.000 0.500
Ag1 0.000 0.000 0.291



10.
# AcMg2GaAg4, optimized geometry, DFT GGA-PBE
# DFT formation energy: -0.1891 eV/atom
data_AcMg2GaAg4
_space_group_name_H-M_alt 'R -3 m'
_space_group_IT_number 166
_space_group_name_Hall '-R 3 2"'
_cell_length_a 4.6408
_cell_length_b 4.6408
_cell_length_c 28.5945
_cell_angle_alpha 90.00
_cell_angle_beta 90.00
_cell_angle_gamma 120.00
loop_
_atom_site_label
_atom_site_fract_x
_atom_site_fract_y
_atom_site_fract_z
Ac1 0.0000 0.0000 0.0000
Mg1 0.0000 0.0000 0.2357
Ga1 0.0000 0.0000 0.5000
Ag1 0.0000 0.0000 0.1328
Ag2 0.0000 0.0000 0.4040



11.
# NaAcGaAg, optimized geometry, DFT GGA-PBE
# DFT formation energy: -0.1825 eV/atom
data_NaAcGaAg
_space_group_name_H-M_alt 'F -4 3 m'
_space_group_IT_number 216
_space_group_name_Hall 'F -4 2 3'
_cell_length_a 7.570
_cell_length_b 7.570
_cell_length_c 7.570
_cell_angle_alpha 90.00
_cell_angle_beta 90.00
_cell_angle_gamma 90.00
loop_
_atom_site_label
_atom_site_fract_x
_atom_site_fract_y
_atom_site_fract_z
Na1 0.000 0.000 0.000
Ac1 0.000 0.000 0.500
Ga1 0.250 0.250 0.250
Ag1 0.250 0.250 0.750



12.
# AcNd2Ga2Ag2, optimized geometry, DFT GGA-PBE
# DFT formation energy: -0.3882 eV/atom
data_AcNd2Ga2Ag2
_space_group_name_H-M_alt 'R -3 m'
_space_group_IT_number 166
_space_group_name_Hall '-R 3 2"'
_cell_length_a 4.7473
_cell_length_b 4.7473
_cell_length_c 28.6416
_cell_angle_alpha 90.00
_cell_angle_beta 90.00
_cell_angle_gamma 120.00
loop_
_atom_site_label
_atom_site_fract_x
_atom_site_fract_y
_atom_site_fract_z
Ac1 0.0000 0.0000 0.0000
Nd1 0.0000 0.0000 0.1277
Ga1 0.0000 0.0000 0.2533
Ag1 0.0000 0.0000 0.4063



13.
# AcNdGaAg, optimized geometry, DFT GGA-PBE
# DFT formation energy: -0.3594 eV/atom
data_AcNdGaAg
_space_group_name_H-M_alt 'F -4 3 m'
_space_group_IT_number 216
_space_group_name_Hall 'F -4 2 3'
_cell_length_a 7.696
_cell_length_b 7.696
_cell_length_c 7.696
_cell_angle_alpha 90.00
_cell_angle_beta 90.00
_cell_angle_gamma 90.00
loop_
_atom_site_label
_atom_site_fract_x
_atom_site_fract_y
_atom_site_fract_z
Ac1 0.000 0.000 0.000
Nd1 0.000 0.000 0.500
Ga1 0.250 0.250 0.750
Ag1 0.250 0.250 0.250



14.
# AcGa3NiAg, optimized geometry, DFT GGA-PBE
# DFT formation energy: -0.2657 eV/atom
data_AcGa3NiAg
_space_group_name_H-M_alt 'C m c m'
_space_group_IT_number 63
_space_group_name_Hall '-C 2c 2'
_cell_length_a 6.178
_cell_length_b 12.494
_cell_length_c 6.453
_cell_angle_alpha 90.00
_cell_angle_beta 90.00
_cell_angle_gamma 90.00
loop_
_atom_site_label
_atom_site_fract_x
_atom_site_fract_y
_atom_site_fract_z
Ac1 0.000 0.229 0.250
Ga1 0.000 0.358 0.750
Ga2 0.222 0.000 0.000
Ni1 0.000 0.452 0.250
Ag1 0.000 0.143 0.750



15.
# Ac2Ga6NiAg, optimized geometry, DFT GGA-PBE
# DFT formation energy: -0.3888 eV/atom
data_Ac2Ga6NiAg
_space_group_name_H-M_alt 'C 1 2/m 1'
_space_group_IT_number 12
_cell_length_a 12.491
_cell_length_b 5.546
_cell_length_c 8.889
_cell_angle_alpha 90.00
_cell_angle_beta 133.41
_cell_angle_gamma 90.00
loop_
_space_group_symop_operation_xyz
'x,y,z'
'-x,-y,-z'
'-x,y,-z'
'x,-y,z'
'x+1/2,y+1/2,z'
'-x+1/2,-y+1/2,-z'
'-x+1/2,y+1/2,-z'
'x+1/2,-y+1/2,z'
loop_
_atom_site_label
_atom_site_fract_x
_atom_site_fract_y
_atom_site_fract_z
Ac1 0.247 0.000 0.207
Ga1 0.010 0.248 0.274
Ga2 0.245 0.000 0.594
Ni1 0.000 0.000 0.500
Ag1 0.000 0.500 0.000



16.
# Ac2GaAg3O6, optimized geometry, DFT GGA-PBE
# formation energy (no corrections): -1.73 eV per atom
data_Ac2GaAg3O6
_space_group_name_H-M_alt 'C 1 2/m 1'
_space_group_IT_number 12
_cell_length_a 6.332
_cell_length_b 11.067
_cell_length_c 6.576
_cell_angle_alpha 90.00
_cell_angle_beta 108.75
_cell_angle_gamma 90.00
loop_
_space_group_symop_operation_xyz
'x,y,z'
'-x,-y,-z'
'-x,y,-z'
'x,-y,z'
'x+1/2,y+1/2,z'
'-x+1/2,-y+1/2,-z'
'-x+1/2,y+1/2,-z'
'x+1/2,-y+1/2,z'
loop_
_atom_site_label
_atom_site_fract_x
_atom_site_fract_y
_atom_site_fract_z
Ac1 0.000 0.167 0.000
Ga1 0.000 0.500 0.000
Ag1 0.000 0.000 0.500
Ag2 0.000 0.365 0.500
O1 0.084 0.360 0.833
O2 0.155 0.000 0.831



17.
# Ac2GaAgO5, optimized geometry, DFT GGA-PBE
# formation energy (no corrections): -2.15 eV per atom
data_Ac2GaAgO5
_space_group_name_H-M_alt 'P 4/m b m'
_space_group_IT_number 127
_space_group_name_Hall '-P 4 2ab'
_cell_length_a 7.183
_cell_length_b 7.183
_cell_length_c 5.833
_cell_angle_alpha 90.00
_cell_angle_beta 90.00
_cell_angle_gamma 90.00
loop_
_atom_site_label
_atom_site_fract_x
_atom_site_fract_y
_atom_site_fract_z
Ac1 0.181 0.319 0.000
Ga1 0.000 0.500 0.500
Ag1 0.000 0.000 0.500
O1 0.000 0.000 0.000
O2 0.129 0.629 0.263



18.
# Ac3GaAg3O8, optimized geometry, DFT GGA-PBE
# formation energy (no corrections): -1.79 eV per atom
data_Ac3GaAg3O8
_space_group_name_H-M_alt 'C 1 2/m 1'
_space_group_IT_number 12
_cell_length_a 12.096
_cell_length_b 7.954
_cell_length_c 8.599
_cell_angle_alpha 90.00
_cell_angle_beta 132.74
_cell_angle_gamma 90.00
loop_
_space_group_symop_operation_xyz
'x,y,z'
'-x,-y,-z'
'-x,y,-z'
'x,-y,z'
'x+1/2,y+1/2,z'
'-x+1/2,-y+1/2,-z'
'-x+1/2,y+1/2,-z'
'x+1/2,-y+1/2,z'
loop_
_atom_site_label
_atom_site_fract_x
_atom_site_fract_y
_atom_site_fract_z
Ac1 0.000 0.000 0.000
Ac2 0.250 0.250 0.500
Ga1 0.000 0.500 0.000
Ag1 0.000 0.000 0.500
Ag2 0.250 0.250 0.000
O1 0.065 0.500 0.261
O2 0.083 0.000 0.353
O3 0.173 0.245 0.151



19.
# Ac2GaAgO6, optimized geometry, DFT GGA-PBE
# formation energy (no corrections): -2.07 eV per atom
data_Ac2GaAgO6
_space_group_name_H-M_alt 'P 4 m m'
_space_group_IT_number 99
_cell_length_a 5.742
_cell_length_b 5.742
_cell_length_c 4.106
_cell_angle_alpha 90.00
_cell_angle_beta 90.00
_cell_angle_gamma 90.00
loop_
_space_group_symop_operation_xyz
'x,y,z'
'-y,x,z'
'-x,-y,z'
'y,-x,z'
'-x,y,z'
'y,x,z'
'x,-y,z'
'-y,-x,z'
loop_
_atom_site_label
_atom_site_fract_x
_atom_site_fract_y
_atom_site_fract_z
Ac1 0.000 0.500 0.000
Ga1 0.000 0.000 0.501
Ag1 0.500 0.500 0.501
O1 0.000 0.000 0.002
O2 0.239 0.239 0.503
O3 0.500 0.500 0.001



20.
# AcGa2AgPd5, optimized geometry, DFT GGA-PBE
# DFT formation energy: -0.4343 eV/atom
data_AcGa2AgPd5
_space_group_name_H-M_alt 'P 4/m m m'
_space_group_IT_number 123
_space_group_name_Hall '-P 4 2'
_cell_length_a 4.826
_cell_length_b 4.826
_cell_length_c 7.391
_cell_angle_alpha 90.00
_cell_angle_beta 90.00
_cell_angle_gamma 90.00
loop_
_atom_site_label
_atom_site_fract_x
_atom_site_fract_y
_atom_site_fract_z
Ac1 0.000 0.000 0.000
Ga1 0.500 0.500 0.336
Ag1 0.000 0.000 0.500
Pd1 0.000 0.500 0.281
Pd2 0.500 0.500 0.000